<one>
Computed, not measured: a relaxed NdEr2Ga6 crystal at the PBE level of DFT.

The volume is 21.4 Å³ per atom. The calculation puts the magnetization at 0.000 μB/cell.

The space group is P6/mmm (No. 191) and the conventional cell measures 7.3104, 7.3104 and 4.1546 Å, with angles of 90.00, 90.00 and 120.00 degrees. The inequivalent atoms are Nd at (0.0000, 0.0000, 0.0000), Er at (0.3333, 0.6667, 0.0000) and Ga at (0.0000, 0.3349, 0.5000).

<two>
Computed, not measured: a relaxed NdEr2Ga6 crystal at the PBE level of DFT.

The volume is 22.4 Å³ per atom. The calculation puts the magnetization at 0.000 μB/cell.

The space group is Immm (No. 71) and the conventional cell measures 4.3258, 7.0861 and 13.1544 Å, with angles of 90.00, 90.00 and 90.00 degrees. The inequivalent atoms are Nd at (0.0000, 0.0000, 0.0000), Er at (0.0000, 0.5000, 0.1259), Ga at (0.0000, 0.1828, 0.5000) and Ga at (0.0000, 0.3046, 0.3145).

Energies relative to the most stable structure, in kJ/mol of atoms: <one> 0.0; <two> 13.5.

<one>
Computed, not measured: a relaxed NdErGaPd crystal at the PBE level of DFT.

The volume is 23.9 Å³ per atom. The calculation puts the magnetization at 0.000 μB/cell.

The space group is Amm2 (No. 38) and the conventional cell measures 4.4661, 3.8121 and 11.2511 Å, with angles of 90.00, 90.00 and 90.00 degrees. The inequivalent atoms are Nd at (0.0000, 0.0000, 0.0000), Er at (0.5000, 0.0000, 0.7139), Ga at (0.5000, 0.0000, 0.4246) and Pd at (0.0000, 0.0000, 0.2758).

<two>
Computed, not measured: a relaxed NdErGaPd crystal at the PBE level of DFT.

The volume is 23.3 Å³ per atom. The calculation puts the magnetization at 0.000 μB/cell.

The space group is F-43m (No. 216) and the conventional cell measures 7.1983, 7.1983 and 7.1983 Å, with angles of 90.00, 90.00 and 90.00 degrees. The inequivalent atoms are Nd at (0.0000, 0.0000, 0.0000), Er at (0.0000, 0.0000, 0.5000), Ga at (0.2500, 0.2500, 0.7500) and Pd at (0.2500, 0.2500, 0.2500).

Energies relative to the most stable structure, in kJ/mol of atoms: <one> 0.0; <two> 4.4.

<one>
Computed, not measured: a relaxed NdErGaPt crystal at the PBE level of DFT.

The volume is 23.8 Å³ per atom. The calculation puts the magnetization at 0.000 μB/cell.

The space group is Amm2 (No. 38) and the conventional cell measures 4.3486, 3.8648 and 11.3111 Å, with angles of 90.00, 90.00 and 90.00 degrees. The inequivalent atoms are Nd at (0.0000, 0.0000, 0.0000), Er at (0.5000, 0.0000, 0.7140), Ga at (0.5000, 0.0000, 0.4210) and Pt at (0.0000, 0.0000, 0.2705).

<two>
Computed, not measured: a relaxed NdErGaPt crystal at the PBE level of DFT.

The volume is 23.1 Å³ per atom. The calculation puts the magnetization at 0.000 μB/cell.

The space group is F-43m (No. 216) and the conventional cell measures 7.1760, 7.1760 and 7.1760 Å, with angles of 90.00, 90.00 and 90.00 degrees. The inequivalent atoms are Nd at (0.0000, 0.0000, 0.0000), Er at (0.0000, 0.0000, 0.5000), Ga at (0.2500, 0.2500, 0.2500) and Pt at (0.2500, 0.2500, 0.7500).

Energies relative to the most stable structure, in kJ/mol of atoms: <one> 0.0; <two> 9.0.

<one>
Computed, not measured: a relaxed Er12GaNi6 crystal at the PBE level of DFT.

The volume is 22.9 Å³ per atom. The calculation puts the magnetization at 0.002 μB/cell.

The space group is Im-3 (No. 204) and the conventional cell measures 9.5497, 9.5497 and 9.5497 Å, with angles of 90.00, 90.00 and 90.00 degrees. The inequivalent atoms are Er at (0.0000, 0.3001, 0.1866), Ga at (0.0000, 0.0000, 0.0000) and Ni at (0.0000, 0.1248, 0.5000).

<two>
Computed, not measured: a relaxed Er12GaNi6 crystal at the PBE level of DFT.

The volume is 24.0 Å³ per atom. The calculation puts the magnetization at 0.000 μB/cell.

The space group is R-3 (No. 148, hexagonal axes) and the conventional cell measures 13.5148, 13.5148 and 8.6511 Å, with angles of 90.00, 90.00 and 120.00 degrees. The inequivalent atoms are Er at (0.0386, 0.2524, 0.4277), Er at (0.0591, 0.1799, 0.8304), Ga at (0.0000, 0.0000, 0.5000) and Ni at (0.0721, 0.5001, 0.7852).

Energies relative to the most stable structure, in kJ/mol of atoms: <one> 0.0; <two> 12.8.